[1]
Compound: Sr2LiIn4Ag3
Source: Alexandria
Functional: PBE
Structure: optimized geometry

Unit cell a=4.5539 b=4.5539 c=12.5471 alpha=90.00 beta=90.00 gamma=90.00
With the nearest neighbours (Å) after each atom.
Fractional positions:
Sr 0.0000 0.5000 0.2450  4 Ag 3.47, 8 In 3.55-3.83
Sr 0.5000 0.0000 0.7550  4 Ag 3.47, 8 In 3.55-3.83
Li 0.0000 0.0000 0.5000  4 In 2.84
In 0.0000 0.0000 0.0000  4 Ag 2.90, 4 In 3.22
In 0.0000 0.5000 0.6354  3 Ag 2.79-2.84, 2 Li 2.84
In 0.5000 0.0000 0.3646  3 Ag 2.79-2.84, 2 Li 2.84
In 0.5000 0.5000 0.0000  4 Ag 2.90, 4 In 3.22
Ag 0.0000 0.5000 0.8574  5 In 2.79-2.90
Ag 0.5000 0.0000 0.1426  5 In 2.79-2.90
Ag 0.5000 0.5000 0.5000  4 In 2.84

DFT total energy, eV/atom: -2.765
Spin magnetization, μB/cell: 0.0
Space group: P-4m2, No. 115
Crystal system: tetragonal
Energy of formation from the pure elements, eV per atom: -0.286

[2]
Compound: SrLi2InAg
Source: Alexandria
Functional: PBE
Structure: optimized geometry

Unit cell a=5.0992 b=5.0992 c=5.2588 alpha=90.00 beta=90.00 gamma=90.00
With the nearest neighbours (Å) after each atom.
Fractional positions:
Sr 0.0000 0.0000 0.0000  4 In 3.61, 8 Li 3.66
Li 0.0000 0.5000 0.5000  2 Ag 2.55
Li 0.5000 0.0000 0.5000  2 Ag 2.55
In 0.5000 0.5000 0.0000  2 Ag 2.63
Ag 0.5000 0.5000 0.5000  4 Li 2.55, 2 In 2.63

Relative energy among the computed polymorphs, eV per formula unit: 0.541
DFT total energy, eV/atom: -2.333
Spin magnetization, μB/cell: 0.0
Space group: P4/mmm, No. 123
Crystal system: tetragonal
Energy of formation from the pure elements, eV per atom: -0.113

[3]
Compound: SrLi2InAg
Source: Alexandria
Functional: PBE
Structure: optimized geometry

Unit cell a=4.2483 b=4.6431 c=12.6376 alpha=90.00 beta=90.00 gamma=90.00
With the nearest neighbours (Å) after each atom.
Fractional positions:
Sr 0.0000 0.0000 0.0000  4 Ag 3.38, 6 Li 3.48-3.60, 2 In 3.77
Sr 0.5000 0.5000 0.5000  4 Ag 3.38, 6 Li 3.48-3.60, 2 In 3.77
Li 0.0000 0.0000 0.6169  1 Ag 2.72, 2 In 2.84, 2 Li 2.87
Li 0.0000 0.5000 0.2701  2 Ag 2.86, 2 Li 2.87, 4 In 3.16
Li 0.5000 0.0000 0.7701  2 Ag 2.86, 2 Li 2.87, 4 In 3.16
Li 0.5000 0.5000 0.1169  1 Ag 2.72, 2 In 2.84, 2 Li 2.87
In 0.0000 0.5000 0.7465  6 Li 2.84-3.16, 2 Ag 2.89
In 0.5000 0.0000 0.2465  6 Li 2.84-3.16, 2 Ag 2.89
Ag 0.0000 0.0000 0.4017  3 Li 2.72-2.86, 2 In 2.89
Ag 0.5000 0.5000 0.9017  3 Li 2.72-2.86, 2 In 2.89

Relative energy among the computed polymorphs, eV per formula unit: 0.000
DFT total energy, eV/atom: -2.441
Spin magnetization, μB/cell: 0.0
Space group: Imm2, No. 44
Crystal system: orthorhombic
Energy of formation from the pure elements, eV per atom: -0.221

[4]
Compound: SrLi2In2Ag2
Source: Alexandria
Functional: PBE
Structure: optimized geometry

Unit cell a=9.1149 b=9.1149 c=9.1149 alpha=29.88 beta=29.88 gamma=29.88
With the nearest neighbours (Å) after each atom.
Fractional positions:
Sr 0.0000 0.0000 0.0000  6 In 3.45, 2 Li 3.68
Li 0.1408 0.1408 0.1408  3 Ag 2.82, 4 In 2.89-3.12, 3 Li 3.03
Li 0.8592 0.8592 0.8592  3 Ag 2.82, 4 In 2.89-3.12, 3 Li 3.03
In 0.2515 0.2515 0.2515  3 Ag 2.82, 4 Li 2.89-3.12
In 0.7485 0.7485 0.7485  3 Ag 2.82, 4 Li 2.89-3.12
Ag 0.4448 0.4448 0.4448  3 Li 2.82, 3 In 2.82, 1 Ag 2.88
Ag 0.5552 0.5552 0.5552  3 Li 2.82, 3 In 2.82, 1 Ag 2.88

DFT total energy, eV/atom: -2.624
Spin magnetization, μB/cell: 0.0
Space group: R-3m, No. 166
Crystal system: trigonal
Energy of formation from the pure elements, eV per atom: -0.240

[5]
Compound: Li2TbIn2Ag2
Source: Alexandria
Functional: PBE
Structure: optimized geometry

Unit cell a=7.7482 b=7.7482 c=7.7482 alpha=36.31 beta=36.31 gamma=36.31
With the nearest neighbours (Å) after each atom.
Fractional positions:
Li 0.1423 0.1423 0.1423  1 In 2.74, 3 Li 2.98, 3 Ag 2.99
Li 0.8577 0.8577 0.8577  1 In 2.74, 3 Li 2.98, 3 Ag 2.99
Tb 0.0000 0.0000 0.0000  2 Li 3.09, 6 In 3.12, 6 Ag 3.44
In 0.2688 0.2688 0.2688  1 Li 2.74, 3 Ag 2.85
In 0.7312 0.7312 0.7312  1 Li 2.74, 3 Ag 2.85
Ag 0.4259 0.4259 0.4259  3 In 2.85, 3 Li 2.99
Ag 0.5741 0.5741 0.5741  3 In 2.85, 3 Li 2.99

DFT total energy, eV/atom: -3.056
Spin magnetization, μB/cell: 0.0
Space group: R-3m, No. 166
Crystal system: trigonal
Energy of formation from the pure elements, eV per atom: -0.250

[6]
Compound: LiTbIn4Ag2
Source: Alexandria
Functional: PBE
Structure: optimized geometry

Unit cell a=8.8932 b=8.8932 c=8.8932 alpha=31.99 beta=31.99 gamma=31.99
With the nearest neighbours (Å) after each atom.
Fractional positions:
Li 0.0000 0.0000 0.0000  8 In 2.92-2.98
Tb 0.5000 0.5000 0.5000  8 In 3.11-3.27
In 0.1153 0.1153 0.1153  1 Li 2.92, 3 Ag 2.95, 3 Tb 3.11
In 0.3709 0.3709 0.3709  3 Li 2.98, 4 Ag 3.05, 1 Tb 3.27
In 0.6291 0.6291 0.6291  3 Li 2.98, 4 Ag 3.05, 1 Tb 3.27
In 0.8847 0.8847 0.8847  1 Li 2.92, 3 Ag 2.95, 3 Tb 3.11
Ag 0.2505 0.2505 0.2505  7 In 2.95-3.05
Ag 0.7495 0.7495 0.7495  7 In 2.95-3.05

DFT total energy, eV/atom: -3.117
Spin magnetization, μB/cell: 0.0
Space group: R-3m, No. 166
Crystal system: trigonal
Energy of formation from the pure elements, eV per atom: -0.217

[7]
Compound: LiTbIn2Ag4
Source: Alexandria
Functional: PBE
Structure: optimized geometry

Unit cell a=8.4307 b=8.4307 c=8.4307 alpha=33.35 beta=33.35 gamma=33.35
With the nearest neighbours (Å) after each atom.
Fractional positions:
Li 0.0000 0.0000 0.0000  8 Ag 2.71-2.92
Tb 0.5000 0.5000 0.5000  8 Ag 3.07-3.12, 6 In 3.40
In 0.2481 0.2481 0.2481  8 Ag 2.87-3.21
In 0.7519 0.7519 0.7519  8 Ag 2.87-3.21
Ag 0.1135 0.1135 0.1135  1 Li 2.71, 3 In 2.87
Ag 0.3694 0.3694 0.3694  4 In 2.90-3.03, 3 Li 2.92, 1 Tb 3.12
Ag 0.6306 0.6306 0.6306  4 In 2.90-3.03, 3 Li 2.92, 1 Tb 3.12
Ag 0.8865 0.8865 0.8865  1 Li 2.71, 3 In 2.87

DFT total energy, eV/atom: -3.183
Spin magnetization, μB/cell: 0.0
Space group: R-3m, No. 166
Crystal system: trigonal
Energy of formation from the pure elements, eV per atom: -0.254

[8]
Compound: LiThInAg
Source: Alexandria
Functional: PBE
Structure: optimized geometry

Unit cell a=5.8522 b=3.3763 c=9.8726 alpha=90.00 beta=90.03 gamma=90.00
With the nearest neighbours (Å) after each atom.
Fractional positions:
Li 0.0000 0.0000 0.0000  3 In 2.92
Li 0.5000 0.5000 0.0000  3 In 2.92
Th 0.1680 0.5000 0.7109  3 Ag 3.26, 6 Th 3.38, 3 Li 3.45-3.46
Th 0.6680 0.0000 0.7109  3 Ag 3.26, 6 Th 3.38, 3 Li 3.45-3.46
In 0.3330 0.0000 0.2204  3 Li 2.92, 3 Ag 2.96-2.97
In 0.8330 0.5000 0.2204  3 Li 2.92, 3 Ag 2.96-2.97
Ag 0.0005 0.0000 0.4466  3 In 2.96-2.97, 3 Th 3.26
Ag 0.5005 0.5000 0.4466  3 In 2.96-2.97, 3 Th 3.26

Relative energy among the computed polymorphs, eV per formula unit: 0.918
DFT total energy, eV/atom: -3.680
Spin magnetization, μB/cell: 0.0
Space group: Cm, No. 8
Crystal system: monoclinic
Energy of formation from the pure elements, eV per atom: 0.051

[9]
Compound: LiThInAg
Source: Alexandria
Functional: PBE
Structure: optimized geometry

Unit cell a=7.0895 b=7.0895 c=7.0895 alpha=90.00 beta=90.00 gamma=90.00
With the nearest neighbours (Å) after each atom.
Fractional positions:
Li 0.0000 0.0000 0.0000  4 In 3.07, 4 Th 3.07
Li 0.0000 0.5000 0.5000  4 In 3.07, 4 Th 3.07
Li 0.5000 0.0000 0.5000  4 In 3.07, 4 Th 3.07
Li 0.5000 0.5000 0.0000  4 In 3.07, 4 Th 3.07
Th 0.2500 0.2500 0.2500  4 Li 3.07, 4 Ag 3.07
Th 0.2500 0.7500 0.7500  4 Li 3.07, 4 Ag 3.07
Th 0.7500 0.2500 0.7500  4 Li 3.07, 4 Ag 3.07
Th 0.7500 0.7500 0.2500  4 Li 3.07, 4 Ag 3.07
In 0.2500 0.2500 0.7500  4 Li 3.07, 4 Ag 3.07
In 0.2500 0.7500 0.2500  4 Li 3.07, 4 Ag 3.07
In 0.7500 0.2500 0.2500  4 Li 3.07, 4 Ag 3.07
In 0.7500 0.7500 0.7500  4 Li 3.07, 4 Ag 3.07
Ag 0.0000 0.0000 0.5000  4 Th 3.07, 4 In 3.07
Ag 0.0000 0.5000 0.0000  4 Th 3.07, 4 In 3.07
Ag 0.5000 0.0000 0.0000  4 Th 3.07, 4 In 3.07
Ag 0.5000 0.5000 0.5000  4 Th 3.07, 4 In 3.07

Relative energy among the computed polymorphs, eV per formula unit: 0.000
DFT total energy, eV/atom: -3.910
Spin magnetization, μB/cell: 0.0
Space group: F-43m, No. 216
Crystal system: cubic
Energy of formation from the pure elements, eV per atom: -0.179

[10]
Compound: LiTiInAg
Source: Alexandria
Functional: PBE
Structure: optimized geometry

Unit cell a=6.5839 b=6.5839 c=6.5839 alpha=90.00 beta=90.00 gamma=90.00
With the nearest neighbours (Å) after each atom.
Fractional positions:
Li 0.0000 0.0000 0.0000  4 Ag 2.85, 4 In 2.85
Li 0.0000 0.5000 0.5000  4 In 2.85, 4 Ag 2.85
Li 0.5000 0.0000 0.5000  4 In 2.85, 4 Ag 2.85
Li 0.5000 0.5000 0.0000  4 Ag 2.85, 4 In 2.85
Ti 0.0000 0.0000 0.5000  4 In 2.85, 4 Ag 2.85
Ti 0.0000 0.5000 0.0000  4 In 2.85, 4 Ag 2.85
Ti 0.5000 0.0000 0.0000  4 In 2.85, 4 Ag 2.85
Ti 0.5000 0.5000 0.5000  4 In 2.85, 4 Ag 2.85
In 0.2500 0.2500 0.2500  4 Li 2.85, 4 Ti 2.85
In 0.2500 0.7500 0.7500  4 Li 2.85, 4 Ti 2.85
In 0.7500 0.2500 0.7500  4 Li 2.85, 4 Ti 2.85
In 0.7500 0.7500 0.2500  4 Li 2.85, 4 Ti 2.85
Ag 0.2500 0.2500 0.7500  4 Li 2.85, 4 Ti 2.85
Ag 0.2500 0.7500 0.2500  4 Li 2.85, 4 Ti 2.85
Ag 0.7500 0.2500 0.2500  4 Li 2.85, 4 Ti 2.85
Ag 0.7500 0.7500 0.7500  4 Li 2.85, 4 Ti 2.85

DFT total energy, eV/atom: -3.930
Spin magnetization, μB/cell: 0.0
Space group: F-43m, No. 216
Crystal system: cubic
Energy of formation from the pure elements, eV per atom: -0.081

[11]
Compound: Li2TlInAg
Source: Alexandria
Functional: PBE
Structure: optimized geometry

Unit cell a=5.7298 b=7.1061 c=5.2742 alpha=90.00 beta=90.00 gamma=90.00
With the nearest neighbours (Å) after each atom.
Fractional positions:
Li 0.2500 0.1920 0.1725  1 Li 2.73, 2 Ag 2.77, 2 Tl 2.92-3.02, 1 In 2.93
Li 0.2500 0.8080 0.1725  1 Li 2.73, 2 Ag 2.77, 2 Tl 2.92-3.02, 1 In 2.93
Li 0.7500 0.1920 0.8275  1 Li 2.73, 2 Ag 2.77, 2 Tl 2.92-3.02, 1 In 2.93
Li 0.7500 0.8080 0.8275  1 Li 2.73, 2 Ag 2.77, 2 Tl 2.92-3.02, 1 In 2.93
Tl 0.2500 0.0000 0.6823  8 Li 2.92-3.26
Tl 0.7500 0.0000 0.3177  8 Li 2.92-3.26
In 0.2500 0.5000 0.5423  2 Ag 2.81, 2 In 2.90, 2 Li 2.93
In 0.7500 0.5000 0.4577  2 Ag 2.81, 2 In 2.90, 2 Li 2.93
Ag 0.0000 0.5000 0.0000  4 Li 2.77, 2 In 2.81, 2 Ag 2.86
Ag 0.5000 0.5000 0.0000  4 Li 2.77, 2 In 2.81, 2 Ag 2.86

DFT total energy, eV/atom: -2.452
Spin magnetization, μB/cell: 0.0
Space group: Pmma, No. 51
Crystal system: orthorhombic
Energy of formation from the pure elements, eV per atom: -0.096

[12]
Compound: LiTlInAg
Source: Alexandria
Functional: PBE
Structure: optimized geometry

Unit cell a=6.9869 b=6.9869 c=6.9869 alpha=90.00 beta=90.00 gamma=90.00
With the nearest neighbours (Å) after each atom.
Fractional positions:
Li 0.0000 0.0000 0.0000  4 Tl 3.03, 4 In 3.03
Li 0.0000 0.5000 0.5000  4 In 3.03, 4 Tl 3.03
Li 0.5000 0.0000 0.5000  4 In 3.03, 4 Tl 3.03
Li 0.5000 0.5000 0.0000  4 In 3.03, 4 Tl 3.03
Tl 0.2500 0.2500 0.2500  4 Li 3.03, 4 Ag 3.03
Tl 0.2500 0.7500 0.7500  4 Li 3.03, 4 Ag 3.03
Tl 0.7500 0.2500 0.7500  4 Li 3.03, 4 Ag 3.03
Tl 0.7500 0.7500 0.2500  4 Li 3.03, 4 Ag 3.03
In 0.2500 0.2500 0.7500  4 Li 3.03, 4 Ag 3.03
In 0.2500 0.7500 0.2500  4 Li 3.03, 4 Ag 3.03
In 0.7500 0.2500 0.2500  4 Li 3.03, 4 Ag 3.03
In 0.7500 0.7500 0.7500  4 Li 3.03, 4 Ag 3.03
Ag 0.0000 0.0000 0.5000  4 Tl 3.03, 4 In 3.03
Ag 0.0000 0.5000 0.0000  4 Tl 3.03, 4 In 3.03
Ag 0.5000 0.0000 0.0000  4 Tl 3.03, 4 In 3.03
Ag 0.5000 0.5000 0.5000  4 Tl 3.03, 4 In 3.03

DFT total energy, eV/atom: -2.558
Spin magnetization, μB/cell: 0.0
Space group: F-43m, No. 216
Crystal system: cubic
Energy of formation from the pure elements, eV per atom: -0.091

> Which value of DFT total energy does entry 1 give?

-2.765 eV/atom

> Look up the DFT total energy of the eleventh one.

-2.452 eV/atom

What did the tenth record say?
Compound: LiTiInAg
Source: Alexandria
Functional: PBE
Structure: optimized geometry

Unit cell a=6.5839 b=6.5839 c=6.5839 alpha=90.00 beta=90.00 gamma=90.00
With the nearest neighbours (Å) after each atom.
Fractional positions:
Li 0.0000 0.0000 0.0000  4 Ag 2.85, 4 In 2.85
Li 0.0000 0.5000 0.5000  4 In 2.85, 4 Ag 2.85
Li 0.5000 0.0000 0.5000  4 In 2.85, 4 Ag 2.85
Li 0.5000 0.5000 0.0000  4 Ag 2.85, 4 In 2.85
Ti 0.0000 0.0000 0.5000  4 In 2.85, 4 Ag 2.85
Ti 0.0000 0.5000 0.0000  4 In 2.85, 4 Ag 2.85
Ti 0.5000 0.0000 0.0000  4 In 2.85, 4 Ag 2.85
Ti 0.5000 0.5000 0.5000  4 In 2.85, 4 Ag 2.85
In 0.2500 0.2500 0.2500  4 Li 2.85, 4 Ti 2.85
In 0.2500 0.7500 0.7500  4 Li 2.85, 4 Ti 2.85
In 0.7500 0.2500 0.7500  4 Li 2.85, 4 Ti 2.85
In 0.7500 0.7500 0.2500  4 Li 2.85, 4 Ti 2.85
Ag 0.2500 0.2500 0.7500  4 Li 2.85, 4 Ti 2.85
Ag 0.2500 0.7500 0.2500  4 Li 2.85, 4 Ti 2.85
Ag 0.7500 0.2500 0.2500  4 Li 2.85, 4 Ti 2.85
Ag 0.7500 0.7500 0.7500  4 Li 2.85, 4 Ti 2.85

DFT total energy, eV/atom: -3.930
Spin magnetization, μB/cell: 0.0
Space group: F-43m, No. 216
Crystal system: cubic
Energy of formation from the pure elements, eV per atom: -0.081